[1]
# GGA-PBE Hf2Nb4Fe3N3, relaxed
data_Hf2Nb4Fe3N3
_chemical_formula_sum 'Hf4 Nb8 Fe6 N6'
_cell_length_a 5.332
_cell_length_b 5.332
_cell_length_c 13.572
_cell_angle_alpha 101.37
_cell_angle_beta 101.37
_cell_angle_gamma 59.92
_space_group_name_H-M_alt 'P 1'
_space_group_IT_number 1
loop_
_space_group_symop_operation_xyz
'x,y,z'
loop_
_atom_site_label
_atom_site_fract_x
_atom_site_fract_y
_atom_site_fract_z
Fe1 0.584 0.912 0.250
Fe2 0.082 0.918 0.250
Fe3 0.088 0.416 0.250
Fe4 0.912 0.584 0.750
Fe5 0.918 0.082 0.750
Fe6 0.416 0.088 0.750
Hf1 0.540 0.375 0.118
Hf2 0.625 0.460 0.382
Hf3 0.375 0.540 0.618
Hf4 0.460 0.625 0.882
N1 0.500 0.000 0.000
N2 0.806 0.347 0.000
N3 0.194 0.653 0.000
N4 0.347 0.806 0.500
N5 0.000 0.500 0.500
N6 0.653 0.194 0.500
Nb1 0.864 0.695 0.091
Nb2 0.198 0.029 0.091
Nb3 0.971 0.802 0.409
Nb4 0.305 0.136 0.409
Nb5 0.695 0.864 0.591
Nb6 0.029 0.198 0.591
Nb7 0.802 0.971 0.909
Nb8 0.136 0.305 0.909
# Total DFT energy (no corrections): -9.82 eV per atom
# Symmetry: C2/c, No. 15
# Crystal system: monoclinic

[2]
# GGA-PBE Hf4FeSN2, relaxed
data_Hf4FeSN2
_chemical_formula_sum 'Hf4 Fe1 S1 N2'
_cell_length_a 3.213
_cell_length_b 3.213
_cell_length_c 12.729
_cell_angle_alpha 90.00
_cell_angle_beta 90.00
_cell_angle_gamma 120.00
_space_group_name_H-M_alt 'P 1'
_space_group_IT_number 1
loop_
_space_group_symop_operation_xyz
'x,y,z'
loop_
_atom_site_label
_atom_site_fract_x
_atom_site_fract_y
_atom_site_fract_z
Fe1 0.000 0.000 0.000
Hf1 0.667 0.333 0.152
Hf2 0.000 0.000 0.357
Hf3 0.000 0.000 0.643
Hf4 0.667 0.333 0.848
N1 0.333 0.667 0.255
N2 0.333 0.667 0.745
S1 0.667 0.333 0.500
# Total DFT energy (no corrections): -9.78 eV per atom
# Symmetry: P-6m2, No. 187
# Crystal system: hexagonal

[3]
# GGA-PBE Hf4FeSbN2, relaxed
data_Hf4FeSbN2
_chemical_formula_sum 'Hf4 Fe1 Sb1 N2'
_cell_length_a 3.222
_cell_length_b 3.222
_cell_length_c 13.713
_cell_angle_alpha 90.00
_cell_angle_beta 90.00
_cell_angle_gamma 120.00
_space_group_name_H-M_alt 'P 1'
_space_group_IT_number 1
loop_
_space_group_symop_operation_xyz
'x,y,z'
loop_
_atom_site_label
_atom_site_fract_x
_atom_site_fract_y
_atom_site_fract_z
Fe1 0.000 0.000 0.000
Hf1 0.333 0.667 0.140
Hf2 0.000 0.000 0.330
Hf3 0.000 0.000 0.670
Hf4 0.333 0.667 0.860
N1 0.667 0.333 0.236
N2 0.667 0.333 0.764
Sb1 0.333 0.667 0.500
# Total DFT energy (no corrections): -9.48 eV per atom
# Symmetry: P-6m2, No. 187
# Crystal system: hexagonal

[4]
# GGA-PBE Hf2Sc4Fe3N3, relaxed
data_Hf2Sc4Fe3N3
_chemical_formula_sum 'Hf4 Sc8 Fe6 N6'
_cell_length_a 5.371
_cell_length_b 5.374
_cell_length_c 13.794
_cell_angle_alpha 79.12
_cell_angle_beta 78.77
_cell_angle_gamma 60.02
_space_group_name_H-M_alt 'P 1'
_space_group_IT_number 1
loop_
_space_group_symop_operation_xyz
'x,y,z'
loop_
_atom_site_label
_atom_site_fract_x
_atom_site_fract_y
_atom_site_fract_z
Fe1 0.416 0.235 0.249
Fe2 0.924 0.750 0.250
Fe3 0.901 0.265 0.251
Fe4 0.099 0.735 0.749
Fe5 0.076 0.250 0.750
Fe6 0.584 0.765 0.751
Hf1 0.461 0.799 0.113
Hf2 0.373 0.701 0.387
Hf3 0.627 0.299 0.613
Hf4 0.539 0.201 0.887
N1 0.189 0.156 0.000
N2 0.500 0.500 0.000
N3 0.811 0.844 0.000
N4 0.344 0.345 0.500
N5 0.000 0.000 0.500
N6 0.656 0.655 0.500
Sc1 0.136 0.472 0.090
Sc2 0.802 0.139 0.090
Sc3 0.030 0.361 0.410
Sc4 0.698 0.028 0.410
Sc5 0.302 0.972 0.590
Sc6 0.970 0.639 0.590
Sc7 0.198 0.861 0.910
Sc8 0.864 0.528 0.910
# Total DFT energy (no corrections): -8.75 eV per atom
# Symmetry: C2/c, No. 15
# Crystal system: monoclinic

[5]
# GGA-PBE Hf4FeSnN2, relaxed
data_Hf4FeSnN2
_chemical_formula_sum 'Hf4 Fe1 Sn1 N2'
_cell_length_a 3.192
_cell_length_b 3.192
_cell_length_c 13.955
_cell_angle_alpha 90.00
_cell_angle_beta 90.00
_cell_angle_gamma 120.00
_space_group_name_H-M_alt 'P 1'
_space_group_IT_number 1
loop_
_space_group_symop_operation_xyz
'x,y,z'
loop_
_atom_site_label
_atom_site_fract_x
_atom_site_fract_y
_atom_site_fract_z
Fe1 0.333 0.667 0.000
Hf1 0.667 0.333 0.138
Hf2 0.333 0.667 0.327
Hf3 0.333 0.667 0.673
Hf4 0.667 0.333 0.862
N1 0.000 0.000 0.234
N2 0.000 0.000 0.766
Sn1 0.667 0.333 0.500
# Total DFT energy (no corrections): -9.52 eV per atom
# Symmetry: P-6m2, No. 187
# Crystal system: hexagonal

[6]
# GGA-PBE Hf4ZnFeN2, relaxed
data_Hf4ZnFeN2
_chemical_formula_sum 'Hf4 Zn1 Fe1 N2'
_cell_length_a 3.184
_cell_length_b 3.184
_cell_length_c 13.578
_cell_angle_alpha 90.00
_cell_angle_beta 90.00
_cell_angle_gamma 120.00
_space_group_name_H-M_alt 'P 1'
_space_group_IT_number 1
loop_
_space_group_symop_operation_xyz
'x,y,z'
loop_
_atom_site_label
_atom_site_fract_x
_atom_site_fract_y
_atom_site_fract_z
Fe1 0.000 0.000 0.000
Hf1 0.667 0.333 0.143
Hf2 0.000 0.000 0.335
Hf3 0.000 0.000 0.665
Hf4 0.667 0.333 0.857
N1 0.333 0.667 0.243
N2 0.333 0.667 0.757
Zn1 0.667 0.333 0.500
# Total DFT energy (no corrections): -9.12 eV per atom
# Symmetry: P-6m2, No. 187
# Crystal system: hexagonal